one.
First-principles (PBE) data for crystalline CoNi3N at its relaxed geometry, as listed in Alexandria.

It has space group Pm-3m (No. 221), with a = 4.2417 Å, b = 4.2417 Å, c = 4.2417 Å, α = 90.00°, β = 90.00° and γ = 90.00°. Symmetry generates all atoms from Co at (0.0000, 0.0000, 0.0000), Ni at (0.0000, 0.0000, 0.5000) and N at (0.5000, 0.5000, 0.5000).

The calculation puts the calculated volume at 76 Å³/f.u.

=====

two.
First-principles (PBE) data for crystalline CoNi3N at its relaxed geometry, as listed in Alexandria.

It has space group Pm-3m (No. 221), with a = 3.7354 Å, b = 3.7354 Å, c = 3.7354 Å, α = 90.00°, β = 90.00° and γ = 90.00°. Symmetry generates all atoms from Co at (0.0000, 0.0000, 0.0000), Ni at (0.0000, 0.5000, 0.5000) and N at (0.5000, 0.5000, 0.5000).

The calculation puts the calculated volume at 52 Å³/f.u.

=====

Most favorable structure: two. The second most favorable one is 1846 meV per atom above it.

=====

one.
First-principles (PBE) data for crystalline Co2NiPdN at its relaxed geometry, as listed in Alexandria.

It has space group P4/mmm (No. 123), with a = 3.7165 Å, b = 3.7165 Å, c = 4.1558 Å, α = 90.00°, β = 90.00° and γ = 90.00°. Symmetry generates all atoms from Co at (0.0000, 0.5000, 0.0000), Ni at (0.0000, 0.0000, 0.5000), Pd at (0.5000, 0.5000, 0.5000) and N at (0.5000, 0.5000, 0.0000).

The calculation puts the calculated volume at 57 Å³/f.u.

=====

two.
First-principles (PBE) data for crystalline Co2NiPdN at its relaxed geometry, as listed in Alexandria.

It has space group P4/mmm (No. 123), with a = 3.7892 Å, b = 3.7892 Å, c = 3.8348 Å, α = 90.00°, β = 90.00° and γ = 90.00°. Symmetry generates all atoms from Co at (0.0000, 0.5000, 0.0000), Ni at (0.0000, 0.0000, 0.5000), Pd at (0.5000, 0.5000, 0.5000) and N at (0.0000, 0.0000, 0.0000).

The calculation puts the calculated volume at 55 Å³/f.u.

=====

Most favorable structure: two. The second most favorable one is 194 meV per atom above it.

=====

one.
First-principles (PBE) data for crystalline Co2NiRhN at its relaxed geometry, as listed in Alexandria.

It has space group P4/mmm (No. 123), with a = 3.7792 Å, b = 3.7792 Å, c = 3.8175 Å, α = 90.00°, β = 90.00° and γ = 90.00°. Symmetry generates all atoms from Co at (0.0000, 0.5000, 0.0000), Ni at (0.0000, 0.0000, 0.5000), Rh at (0.5000, 0.5000, 0.5000) and N at (0.0000, 0.0000, 0.0000).

The calculation puts the calculated volume at 55 Å³/f.u.

=====

two.
First-principles (PBE) data for crystalline Co2NiRhN at its relaxed geometry, as listed in Alexandria.

It has space group P4/mmm (No. 123), with a = 3.7380 Å, b = 3.7380 Å, c = 4.0096 Å, α = 90.00°, β = 90.00° and γ = 90.00°. Symmetry generates all atoms from Co at (0.0000, 0.5000, 0.0000), Ni at (0.0000, 0.0000, 0.5000), Rh at (0.5000, 0.5000, 0.5000) and N at (0.5000, 0.5000, 0.0000).

The calculation puts the calculated volume at 56 Å³/f.u.

=====

Most favorable structure: one. The second most favorable one is 48 meV per atom above it.

=====

one.
First-principles (PBE) data for crystalline CoNi2RuN at its relaxed geometry, as listed in Alexandria.

It has space group P4/mmm (No. 123), with a = 3.7746 Å, b = 3.7746 Å, c = 3.9347 Å, α = 90.00°, β = 90.00° and γ = 90.00°. Symmetry generates all atoms from Co at (0.0000, 0.0000, 0.0000), Ni at (0.0000, 0.5000, 0.5000), Ru at (0.5000, 0.5000, 0.0000) and N at (0.5000, 0.5000, 0.5000).

The calculation puts the calculated volume at 56 Å³/f.u.

=====

two.
First-principles (PBE) data for crystalline CoNi2RuN at its relaxed geometry, as listed in Alexandria.

It has space group P4/mmm (No. 123), with a = 3.8075 Å, b = 3.8075 Å, c = 3.7425 Å, α = 90.00°, β = 90.00° and γ = 90.00°. Symmetry generates all atoms from Co at (0.0000, 0.0000, 0.0000), Ni at (0.0000, 0.5000, 0.5000), Ru at (0.5000, 0.5000, 0.0000) and N at (0.0000, 0.0000, 0.5000).

The calculation puts the calculated volume at 54 Å³/f.u.

=====

Most favorable structure: one. The second most favorable one is 50 meV per atom above it.

=====

one.
First-principles (PBE) data for crystalline CoNiSN2 at its relaxed geometry, as listed in Alexandria.

It has space group P4/mmm (No. 123), with a = 3.4092 Å, b = 3.4092 Å, c = 6.1024 Å, α = 90.00°, β = 90.00° and γ = 90.00°. Symmetry generates all atoms from Co at (0.0000, 0.0000, 0.0000), Ni at (0.5000, 0.5000, 0.5000), S at (0.0000, 0.0000, 0.5000) and N at (0.0000, 0.5000, 0.0000).

The calculation puts the calculated volume at 71 Å³/f.u.

=====

two.
First-principles (PBE) data for crystalline CoNiSN2 at its relaxed geometry, as listed in Alexandria.

It has space group P4/mmm (No. 123), with a = 3.4291 Å, b = 3.4291 Å, c = 7.0609 Å, α = 90.00°, β = 90.00° and γ = 90.00°. Symmetry generates all atoms from Co at (0.0000, 0.0000, 0.0000), Ni at (0.5000, 0.5000, 0.5000), S at (0.5000, 0.5000, 0.0000) and N at (0.0000, 0.5000, 0.5000).

The calculation puts the calculated volume at 83 Å³/f.u.

=====

Most favorable structure: one. The second most favorable one is 236 meV per atom above it.

=====

one.
First-principles (PBE) data for crystalline CoNiSe2N at its relaxed geometry, as listed in Alexandria.

It has space group P4/mmm (No. 123), with a = 4.9384 Å, b = 4.9384 Å, c = 3.3471 Å, α = 90.00°, β = 90.00° and γ = 90.00°. Symmetry generates all atoms from Co at (0.0000, 0.0000, 0.0000), Ni at (0.5000, 0.5000, 0.5000), Se at (0.0000, 0.5000, 0.5000) and N at (0.5000, 0.5000, 0.0000).

The calculation puts the calculated volume at 82 Å³/f.u.

=====

two.
First-principles (PBE) data for crystalline CoNiSe2N at its relaxed geometry, as listed in Alexandria.

It has space group P4/mmm (No. 123), with a = 4.5017 Å, b = 4.5017 Å, c = 4.4579 Å, α = 90.00°, β = 90.00° and γ = 90.00°. Symmetry generates all atoms from Co at (0.0000, 0.0000, 0.0000), Ni at (0.0000, 0.0000, 0.5000), Se at (0.0000, 0.5000, 0.5000) and N at (0.5000, 0.5000, 0.0000).

The calculation puts the calculated volume at 90 Å³/f.u.

=====

Most favorable structure: one. The second most favorable one is 932 meV per atom above it.